# 1
Ba3MnPt2O6 (PBE with a Hubbard U, optimized geometry); symmetry = No. 164; calculated total energy = -5.986 eV per atom
1.0
5.8795 0.0000 0.0000
-2.9398 5.0918 0.0000
0.0000 0.0000 6.8423
Ba Mn Pt O
3 1 2 6
direct
0.3333 0.6667 0.6472 Ba
0.6667 0.3333 0.3528 Ba
0.0000 0.0000 0.0000 Ba
0.0000 0.0000 0.5000 Mn
0.6667 0.3333 0.8488 Pt
0.3333 0.6667 0.1512 Pt
0.6733 0.8366 0.3193 O
0.1634 0.3267 0.3193 O
0.1634 0.8366 0.3193 O
0.8366 0.6733 0.6807 O
0.3267 0.1634 0.6807 O
0.8366 0.1634 0.6807 O


# 2
Ba3PuMn2O9 (PBE with a Hubbard U, optimized geometry); symmetry = No. 164; calculated total energy = -7.736 eV per atom
1.0
-1.1619 -5.0054 2.8578
2.6957 -0.1545 -5.2230
6.4693 0.3979 3.3272
Ba Pu Mn O
3 1 2 9
direct
0.3333 0.6667 0.6875 Ba
0.0000 0.0000 0.0000 Ba
0.6667 0.3333 0.3125 Ba
0.0000 0.0000 0.5000 Pu
0.3333 0.6667 0.1516 Mn
0.6667 0.3333 0.8484 Mn
0.8350 0.1650 0.6639 O
0.8350 0.6700 0.6639 O
0.3300 0.1650 0.6639 O
0.6700 0.8350 0.3361 O
0.1650 0.3300 0.3361 O
0.1650 0.8350 0.3361 O
0.5000 0.0000 0.0000 O
0.0000 0.5000 0.0000 O
0.5000 0.5000 0.0000 O


# 3
Ba2PuMnO6 (PBE with a Hubbard U, optimized geometry); symmetry = No. 225; calculated total energy = -8.156 eV per atom
1.0
-3.2569 -4.8207 1.4910
-0.2122 -1.6421 -5.7730
5.2989 0.9808 2.6502
Mn Ba O Pu
1 2 6 1
direct
0.5000 0.5000 0.0000 Mn
0.2500 0.7500 0.5000 Ba
0.7500 0.2500 0.5000 Ba
0.7540 0.7539 0.0000 O
0.2461 0.7540 0.0000 O
0.7539 0.2460 0.0000 O
0.2460 0.2461 0.0000 O
0.2461 0.2461 0.4922 O
0.7539 0.7539 0.5078 O
0.0000 0.0000 0.0000 Pu


# 4
Ba4Pu3MnO12 (PBE with a Hubbard U, optimized geometry); symmetry = No. 229; calculated total energy = -8.681 eV per atom
1.0
7.5175 0.0000 0.0000
-2.5058 7.0875 0.0000
-2.5058 -3.5438 6.1380
Ba Pu Mn O
4 3 1 12
direct
0.5000 0.5000 0.5000 Ba
0.0000 0.0000 0.5000 Ba
0.5000 0.0000 0.0000 Ba
0.0000 0.5000 0.0000 Ba
0.5000 0.0000 0.5000 Pu
0.5000 0.5000 0.0000 Pu
0.0000 0.5000 0.5000 Pu
0.0000 0.0000 0.0000 Mn
0.2500 0.5000 0.7500 O
0.7434 0.0000 0.7434 O
0.2566 0.0000 0.2566 O
0.7500 0.5000 0.2500 O
0.7434 0.7434 0.0000 O
0.2566 0.2566 0.0000 O
0.7500 0.2500 0.5000 O
0.2500 0.7500 0.5000 O
0.5000 0.2500 0.7500 O
0.0000 0.7434 0.7434 O
0.5000 0.7500 0.2500 O
0.0000 0.2566 0.2566 O


# 5
Ba3Pu2MnO9 (PBE with a Hubbard U, optimized geometry); symmetry = No. 164; calculated total energy = -8.513 eV per atom
1.0
-2.2741 -2.3682 -5.0993
4.9983 -2.3758 2.4810
-4.2301 -4.6664 4.0537
Ba Pu Mn O
3 2 1 9
direct
0.3333 0.6667 0.6509 Ba
0.0000 0.0000 0.0000 Ba
0.6667 0.3333 0.3491 Ba
0.3333 0.6667 0.1717 Pu
0.6667 0.3333 0.8283 Pu
0.0000 0.0000 0.5000 Mn
0.8313 0.1687 0.6675 O
0.8313 0.6627 0.6675 O
0.3373 0.1687 0.6675 O
0.6627 0.8313 0.3325 O
0.1687 0.3373 0.3325 O
0.1687 0.8313 0.3325 O
0.5000 0.0000 0.0000 O
0.0000 0.5000 0.0000 O
0.5000 0.5000 0.0000 O


# 6
RbBaMnO4 (PBE with a Hubbard U, optimized geometry); energy relative to the lowest polymorph listed for this composition = 38.5 meV/atom; symmetry = No. 11; calculated total energy = -6.090 eV per atom
1.0
-4.8179 -3.9283 -1.0170
1.0294 -2.5956 5.1496
-3.6634 6.1226 3.8183
Rb Ba Mn O
2 2 2 8
direct
0.7376 0.7500 0.9582 Rb
0.2624 0.2500 0.0418 Rb
0.7659 0.7500 0.4540 Ba
0.2341 0.2500 0.5460 Ba
0.2254 0.7500 0.3003 Mn
0.7746 0.2500 0.6997 Mn
0.9438 0.4834 0.7254 O
0.0562 0.9834 0.2746 O
0.0562 0.5166 0.2746 O
0.9438 0.0166 0.7254 O
0.4171 0.7500 0.1778 O
0.5829 0.2500 0.8222 O
0.3537 0.7500 0.5105 O
0.6463 0.2500 0.4895 O


# 7
RbBaMnO3 (PBE with a Hubbard U, optimized geometry); symmetry = No. 12; calculated total energy = -5.998 eV per atom
1.0
-3.8276 0.6041 -0.9434
-0.0348 -2.2986 7.0989
1.1963 8.0796 0.3200
Rb Ba Mn O
2 2 2 6
direct
0.3494 0.6989 0.9308 Rb
0.6506 0.3011 0.0692 Rb
0.6569 0.3138 0.5881 Ba
0.3431 0.6862 0.4119 Ba
0.0069 0.0138 0.2720 Mn
0.9931 0.9862 0.7280 Mn
0.8695 0.7390 0.2020 O
0.8545 0.7090 0.6568 O
0.5070 0.0141 0.2969 O
0.1455 0.2910 0.3432 O
0.4930 0.9859 0.7031 O
0.1305 0.2610 0.7980 O


# 8
RbBa2MnO4 (PBE with a Hubbard U, optimized geometry); symmetry = No. 63; calculated total energy = -5.974 eV per atom
1.0
3.8129 0.0000 0.0000
-1.9065 6.8835 0.0000
0.0000 0.0000 13.1757
Rb Ba Mn O
2 4 2 8
direct
0.1038 0.2075 0.7500 Rb
0.8962 0.7925 0.2500 Rb
0.3703 0.7406 0.5382 Ba
0.6297 0.2594 0.0382 Ba
0.6297 0.2594 0.4618 Ba
0.3703 0.7406 0.9618 Ba
0.8045 0.6090 0.7500 Mn
0.1955 0.3910 0.2500 Mn
0.2550 0.5100 0.1217 O
0.7450 0.4900 0.6217 O
0.7450 0.4900 0.8783 O
0.2550 0.5100 0.3783 O
0.0000 0.0000 0.5000 O
0.0000 0.0000 0.0000 O
0.3532 0.7064 0.7500 O
0.6468 0.2936 0.2500 O


# 9
Rb2BaMnO4 (PBE with a Hubbard U, optimized geometry); symmetry = No. 70; calculated total energy = -5.250 eV per atom
1.0
-2.7828 -2.5708 -5.1388
-2.6571 -6.6592 0.8044
-12.9928 3.7956 1.1712
Rb Ba Mn O
4 2 2 8
direct
0.2061 0.0000 0.5878 Rb
0.7939 0.0000 0.4122 Rb
0.5439 0.5000 0.9122 Rb
0.9561 0.5000 0.0878 Rb
0.7500 0.5000 0.5000 Ba
0.0000 0.0000 0.0000 Ba
0.2500 0.5000 0.5000 Mn
0.5000 0.0000 0.0000 Mn
0.3911 0.8093 0.0579 O
0.2582 0.1907 0.9421 O
0.7997 0.8093 0.9421 O
0.5511 0.1907 0.0579 O
0.3589 0.6907 0.4421 O
0.4918 0.3093 0.5579 O
0.9503 0.6907 0.5579 O
0.1989 0.3093 0.4421 O


# 10
RbBaMnO4 (PBE with a Hubbard U, optimized geometry); energy relative to the lowest polymorph listed for this composition = 0.0 meV/atom; symmetry = No. 62; calculated total energy = -6.129 eV per atom
1.0
-5.5410 -1.4259 -1.7400
-0.0160 -6.1758 5.1119
-3.9515 6.2123 7.4928
O Mn Rb Ba
16 4 4 4
direct
0.5120 0.7088 0.3366 O
0.0120 0.2912 0.6634 O
0.9880 0.2088 0.1634 O
0.4880 0.7912 0.8366 O
0.4880 0.2912 0.6634 O
0.9880 0.7088 0.3366 O
0.0120 0.7912 0.8366 O
0.5120 0.2088 0.1634 O
0.2500 0.5149 0.9238 O
0.7500 0.4851 0.0762 O
0.2500 0.0149 0.5762 O
0.7500 0.9851 0.4238 O
0.7500 0.1951 0.9311 O
0.2500 0.8049 0.0689 O
0.2500 0.3049 0.4311 O
0.7500 0.6951 0.5689 O
0.7500 0.7715 0.4151 Mn
0.2500 0.2285 0.5849 Mn
0.7500 0.2715 0.0849 Mn
0.2500 0.7285 0.9151 Mn
0.2500 0.6559 0.5820 Rb
0.7500 0.3441 0.4180 Rb
0.7500 0.8441 0.0820 Rb
0.2500 0.1559 0.9180 Rb
0.7500 0.0019 0.6918 Ba
0.2500 0.9981 0.3082 Ba
0.7500 0.5019 0.8082 Ba
0.2500 0.4981 0.1918 Ba


# 11
Ba2MnRe3O12 (PBE with a Hubbard U, optimized geometry); symmetry = No. 166; calculated total energy = -7.865 eV per atom
1.0
7.0760 -0.1589 -0.1127
3.3563 6.2314 -0.1127
3.3563 1.9536 5.9183
Ba Mn Re O
2 1 3 12
direct
0.6254 0.6254 0.6254 Ba
0.3746 0.3746 0.3746 Ba
0.0000 0.0000 0.0000 Mn
0.5000 0.0000 0.0000 Re
0.0000 0.5000 0.0000 Re
0.0000 0.0000 0.5000 Re
0.3007 0.3007 0.9153 O
0.8986 0.8986 0.3721 O
0.3721 0.8986 0.8986 O
0.9153 0.3007 0.3007 O
0.8986 0.3721 0.8986 O
0.3007 0.9153 0.3007 O
0.6993 0.6993 0.0847 O
0.1014 0.1014 0.6279 O
0.6279 0.1014 0.1014 O
0.0847 0.6993 0.6993 O
0.1014 0.6279 0.1014 O
0.6993 0.0847 0.6993 O


# 12
BaMnRhO6 (PBE with a Hubbard U, optimized geometry); symmetry = No. 149; calculated total energy = -6.507 eV per atom
1.0
5.1894 0.0000 0.0009
2.5948 4.4942 0.0007
-0.0010 -0.0003 5.7788
Ba Mn Rh O
1 1 1 6
direct
0.0000 0.0000 0.0000 Ba
0.6666 0.6667 0.5000 Mn
0.3333 0.3333 0.5000 Rh
0.9949 0.3876 0.3129 O
0.3875 0.9949 0.6871 O
0.6175 0.3876 0.6871 O
0.9948 0.6176 0.6871 O
0.3875 0.6176 0.3129 O
0.6175 0.9949 0.3129 O


# 13
Ba3Mn2RhO9 (PBE with a Hubbard U, optimized geometry); symmetry = No. 164; calculated total energy = -6.665 eV per atom
1.0
-5.4907 1.4239 -0.9262
1.8417 -5.3020 -1.2366
-1.6471 -2.0975 6.5398
Ba Mn Rh O
3 2 1 9
direct
0.3333 0.6667 0.6668 Ba
0.0000 0.0000 0.0000 Ba
0.6667 0.3333 0.3332 Ba
0.3333 0.6667 0.1537 Mn
0.6667 0.3333 0.8463 Mn
0.0000 0.0000 0.5000 Rh
0.8358 0.1642 0.6625 O
0.8358 0.6715 0.6625 O
0.3285 0.1642 0.6625 O
0.6715 0.8358 0.3375 O
0.1642 0.3285 0.3375 O
0.1642 0.8358 0.3375 O
0.5000 0.0000 0.0000 O
0.0000 0.5000 0.0000 O
0.5000 0.5000 0.0000 O


# 14
BaMnRu2O8 (PBE with a Hubbard U, optimized geometry); symmetry = No. 12; calculated total energy = -6.956 eV per atom
1.0
-2.9578 -3.0030 -3.2515
2.8877 -3.6080 -2.6424
-1.1538 -5.6246 5.4857
Ba Mn Ru O
1 1 2 8
direct
0.0000 0.0000 0.5000 Ba
0.0000 0.0000 0.0000 Mn
0.6247 0.6247 0.2132 Ru
0.3753 0.3753 0.7868 Ru
0.7429 0.2288 0.7982 O
0.7678 0.7678 0.0444 O
0.6986 0.6986 0.4182 O
0.3014 0.3014 0.5818 O
0.2322 0.2322 0.9556 O
0.2288 0.7429 0.7982 O
0.7712 0.2571 0.2018 O
0.2571 0.7712 0.2018 O


# 15
BaMn2RuO8 (PBE with a Hubbard U, optimized geometry); symmetry = No. 2; calculated total energy = -6.716 eV per atom
1.0
4.8992 0.5730 0.5519
0.5771 4.9622 0.6844
0.6857 0.9339 7.0776
Ba Mn Ru O
1 2 1 8
direct
0.0000 0.0000 0.5000 Ba
0.4569 0.4513 0.7204 Mn
0.5431 0.5487 0.2796 Mn
0.0000 0.0000 0.0000 Ru
0.1683 0.7336 0.2134 O
0.7053 0.8030 0.0580 O
0.7936 0.2333 0.1730 O
0.8317 0.2664 0.7866 O
0.2947 0.1970 0.9420 O
0.2064 0.7667 0.8270 O
0.5870 0.7091 0.4847 O
0.4130 0.2909 0.5153 O


# 16
Ba2Mn3RuO12 (PBE with a Hubbard U, optimized geometry); symmetry = No. 166; calculated total energy = -6.705 eV per atom
1.0
7.0735 0.1112 0.0789
3.5900 6.0958 0.0789
3.5900 2.0897 5.7270
Ba Mn Ru O
2 3 1 12
direct
0.6137 0.6137 0.6137 Ba
0.3863 0.3863 0.3863 Ba
0.5000 0.0000 0.0000 Mn
0.0000 0.5000 0.0000 Mn
0.0000 0.0000 0.5000 Mn
0.0000 0.0000 0.0000 Ru
0.3291 0.3291 0.9187 O
0.9269 0.9269 0.3242 O
0.3242 0.9269 0.9269 O
0.9187 0.3291 0.3291 O
0.9269 0.3242 0.9269 O
0.3291 0.9187 0.3291 O
0.6709 0.6709 0.0813 O
0.0731 0.0731 0.6758 O
0.6758 0.0731 0.0731 O
0.0813 0.6709 0.6709 O
0.0731 0.6758 0.0731 O
0.6709 0.0813 0.6709 O


# 17
BaMnSO (PBE with a Hubbard U, optimized geometry); symmetry = No. 156; calculated total energy = -6.399 eV per atom
1.0
-0.7050 1.4323 3.8315
-2.3510 -3.0551 -1.5389
4.0036 -4.2522 2.3262
Ba Mn S O
1 1 1 1
direct
0.9052 0.8104 0.7495 Ba
0.2386 0.4772 0.2192 Mn
0.5719 0.1439 0.3659 S
0.2386 0.4771 0.9046 O


# 18
BaMn2SO2 (PBE with a Hubbard U, optimized geometry); symmetry = No. 11; calculated total energy = -6.664 eV per atom
1.0
-5.6252 -1.5503 0.6779
0.8024 0.0240 6.7130
-2.1487 6.8972 -2.0563
Ba Mn S O
2 4 2 4
direct
0.7500 0.3486 0.6849 Ba
0.2500 0.6514 0.3151 Ba
0.5044 0.1155 0.2162 Mn
0.9956 0.1155 0.2162 Mn
0.0044 0.8845 0.7838 Mn
0.4956 0.8845 0.7838 Mn
0.2500 0.2049 0.9655 S
0.7500 0.7951 0.0345 S
0.2500 0.0251 0.3473 O
0.2500 0.6831 0.6584 O
0.7500 0.9749 0.6527 O
0.7500 0.3169 0.3416 O


# 19
Ba2MnSb2O6 (PBE with a Hubbard U, optimized geometry); symmetry = No. 12; calculated total energy = -6.202 eV per atom
1.0
-4.4443 4.4248 2.7074
-1.6530 -4.0941 -4.6395
0.0943 -3.0274 5.1026
Ba Mn Sb O
2 1 2 6
direct
0.6817 0.3635 0.1449 Ba
0.3183 0.6365 0.8551 Ba
0.5000 0.0000 0.5000 Mn
0.9698 0.9396 0.7319 Sb
0.0302 0.0604 0.2681 Sb
0.7788 0.5576 0.6442 O
0.3039 0.9889 0.2541 O
0.3150 0.0111 0.7459 O
0.6961 0.0111 0.7459 O
0.6850 0.9889 0.2541 O
0.2212 0.4424 0.3558 O